## KAc4V3O12 (PBE with a Hubbard U)

Data for a relaxed KAc4V3O12 crystal.

Unit cell a=7.613 b=7.613 c=7.613 alpha=109.47 beta=109.47 gamma=109.47
Last column: magnetic moment on the atom in μB.
Positions (direct):
O: 0.657 0.150 0.807  -0.05
O: 0.850 0.193 0.343  -0.05
O: 0.343 0.850 0.193  -0.05
O: 0.193 0.343 0.850  -0.05
O: 0.150 0.492 0.343  -0.05
O: 0.508 0.657 0.850  -0.05
O: 0.150 0.807 0.657  -0.05
O: 0.343 0.150 0.492  -0.05
O: 0.850 0.508 0.657  -0.05
O: 0.492 0.343 0.150  -0.05
O: 0.657 0.850 0.508  -0.05
O: 0.807 0.657 0.150  -0.05
Ac: 0.500 0.500 0.500  -0.01
Ac: 0.500 0.000 0.000  -0.01
Ac: 0.000 0.000 0.500  -0.01
Ac: 0.000 0.500 0.000  -0.01
V: 0.500 0.500 0.000  1.37
V: 0.000 0.500 0.500  1.37
V: 0.500 0.000 0.500  1.37
K: 0.000 0.000 0.000  0.00

## Properties
Total energy = -7.4212 eV per atom